First-principles (GGA+U) data for an optimized crystal structure of NaCoCu2F8, as listed in Alexandria.

a b c (Å): 6.4556 6.4556 6.4556
angles (deg): 131.05 131.05 71.73
Sites, in units of the cell vectors:
Na  0.0000  0.0000  0.0000
Co  0.2500  0.7500  0.5000
Cu  0.5000  0.5000  0.0000
Cu  0.7500  0.2500  0.5000
F  0.0324  0.0421  0.6223
F  0.2139  0.6471  0.8209
F  0.3529  0.1738  0.5668
F  0.4198  0.4101  0.3777
F  0.5899  0.9676  0.0097
F  0.6070  0.7861  0.4332
F  0.8262  0.3930  0.1791
F  0.9579  0.5802  0.9903

Total DFT energy (no corrections) = -4.2011 eV per atom
SG = I-4 (82)
Calculated volume = 150 Å³ per cell
Crystal system = tetragonal